Entry from Alexandria: a relaxed structure of PmBMoO5 (PBE with a Hubbard U).

```
data_PmBMoO5
_space_group_name_H-M_alt 'P 1'
_space_group_IT_number 1
_space_group_name_Hall 'P 1'
_cell_length_a 5.461
_cell_length_b 5.461
_cell_length_c 7.069
_cell_angle_alpha 103.01
_cell_angle_beta 103.01
_cell_angle_gamma 107.67
loop_
_atom_site_label
_atom_site_type_symbol
_atom_site_fract_x
_atom_site_fract_y
_atom_site_fract_z
Pm1 Pm 0.653 0.347 0.750
Pm2 Pm 0.347 0.653 0.250
O1 O 0.884 0.329 0.135
O2 O 0.591 0.743 0.906
O3 O 0.409 0.257 0.094
O4 O 0.671 0.116 0.365
O5 O 0.257 0.409 0.594
O6 O 0.743 0.591 0.406
O7 O 0.088 0.912 0.250
O8 O 0.329 0.884 0.635
O9 O 0.912 0.088 0.750
O10 O 0.116 0.671 0.865
B1 B 0.315 0.685 0.750
B2 B 0.685 0.315 0.250
Mo1 Mo 0.000 0.000 0.000
Mo2 Mo 0.000 0.000 0.500
```

Output
The value obtained for the calculated volume is 11.60 A^3/atom. The value obtained for the raw total energy is -7.86 eV per atom. Its space-group type is C2/c (15).